Density functional theory data (GGA-PBE) for crystalline ScAg2Ge at its relaxed geometry.

Computed properties:
- M_tot (μB per formula unit) = 0.000
- DFT formation energy (eV/atom) = -0.27
- density (g cm⁻³) = 7.4

```
data_ScAg2Ge
_cell_length_a 4.0108
_cell_length_b 4.0108
_cell_length_c 4.6443
_cell_angle_alpha 90.00
_cell_angle_beta 90.00
_cell_angle_gamma 90.00
_space_group_name_H-M_alt 'P 4/m m m'
_space_group_IT_number 123
_space_group_name_Hall '-P 4 2'
loop_
_atom_site_label
_atom_site_type_symbol
_atom_site_fract_x
_atom_site_fract_y
_atom_site_fract_z
Sc1 Sc 0.0000 0.0000 0.0000
Ag1 Ag 0.0000 0.5000 0.5000
Ge1 Ge 0.5000 0.5000 0.0000
```